A crystal of CaBeCd2 relaxed with PBEsol, computed with meta-GGA SCAN.

Properties
Space-group type: I4/mmm, No. 139
Crystal system: tetragonal
Formation enthalpy at 0 K, meV per atom: 49

```
CaBeCd2
1.0
4.783 0.000 0.000
0.000 4.790 0.000
-2.392 -2.395 3.419
Cd Be Ca
2 1 1
Direct
0.250 0.250 0.500 Cd
0.750 0.750 0.500 Cd
0.000 0.500 0.000 Be
0.500 0.000 0.000 Ca
```